# Hg3Te2WF6 (PBE with a Hubbard U, relaxed)
data_Hg3Te2WF6
_chemical_formula_sum 'Hg3 Te2 W1 F6'
_cell_length_a 8.0055
_cell_length_b 8.0055
_cell_length_c 5.3442
_cell_angle_alpha 103.41
_cell_angle_beta 103.41
_cell_angle_gamma 54.68
_space_group_name_H-M_alt 'P 1'
_space_group_IT_number 1
_space_group_name_Hall 'P 1'
loop_
_atom_site_label
_atom_site_fract_x
_atom_site_fract_y
_atom_site_fract_z
Hg1 0.0000 0.0000 0.0000
Hg2 0.0000 0.5000 0.5000
Hg3 0.5000 0.0000 0.5000
Te1 0.1965 0.1965 0.1168
Te2 0.8035 0.8035 0.8832
W1 0.5000 0.5000 0.5000
F1 0.2150 0.6270 0.2902
F2 0.3730 0.7850 0.7098
F3 0.4037 0.4037 0.7148
F4 0.5963 0.5963 0.2852
F5 0.6270 0.2150 0.2902
F6 0.7850 0.3730 0.7098
# - space-group type = C2/m
# - total energy (eV per atom) = -3.781
# - D(E_F) (states/eV/cell) = 0.0